Compound: Mg2Cd7Pd2
Source: the Alexandria database
Functional: PBE-GGA
Structure: relaxed

extended XYZ file:
```
11
Lattice="5.168 1.039 1.187 0.604 6.785 0.291 0.604 -0.614 6.764" Properties=species:S:1:pos:R:3 pbc="T T T"
Pd 0.604 4.858 1.978
Mg 4.370 4.403 5.034
Cd 3.893 4.581 1.532
Pd 0.604 1.314 5.078
Mg 2.007 2.807 3.209
Cd 2.584 0.519 0.594
Cd 3.893 0.909 4.744
Cd 1.415 5.149 5.886
Cd 2.484 2.629 6.710
Cd 4.961 2.061 2.356
Cd 2.484 6.301 3.499
```

Output
space-group type	C2/m, No. 12
volume	228.7	Å³/cell
energy relative to the lowest polymorph listed for this composition	47	meV/atom
ΔE_f	-1.825	eV per formula unit

Compound: AcDy4Sn4
Source: the Alexandria database
Functional: PBE-GGA
Structure: relaxed

extended XYZ file:
```
18
Lattice="6.120 0.000 0.000 0.000 10.086 0.000 0.000 0.000 10.086" Properties=species:S:1:pos:R:3 pbc="T T T"
Dy 0.659 1.403 6.195
Dy 3.719 8.935 6.446
Sn 0.565 8.487 6.977
Dy 5.461 6.195 8.683
Sn 2.495 6.642 8.152
Ac 0.000 0.000 0.000
Dy 5.461 3.892 1.403
Dy 3.719 1.152 3.640
Ac 3.060 5.043 5.043
Sn 3.625 8.152 3.444
Sn 0.565 1.599 3.109
Sn 2.495 3.444 1.934
Sn 5.555 3.109 8.487
Dy 0.659 8.683 3.892
Dy 2.401 6.446 1.152
Dy 2.401 3.640 8.935
Sn 5.555 6.977 1.599
Sn 3.625 1.934 6.642
```

Output
space-group type	P4_2/n, No. 86
volume	622.6	Å³/cell
ΔE_f	-4.152	eV per formula unit